(1)
12
Lattice="-1.259 -2.350 3.496 2.603 0.007 0.942 -2.616 12.031 7.147" Properties=species:S:1:pos:R:3 comment="PBE ZnTcOs, optimized geometry" space_group="Amm2 (38)" ef_ev_per_atom=0.07 polymorph_energy_mev_per_atom=40.3 final_energy_ev_per_cell=-90.6 m_tot_mub_per_fu=0.00 pbc="T T T"
Zn -2.615 7.959 7.174
Zn -0.006 1.946 4.071
Zn -0.535 2.462 1.462
Zn -0.542 8.481 5.507
Os -1.748 3.967 4.803
Os -1.754 9.986 8.847
Os -2.288 10.523 6.250
Os 0.322 4.510 3.148
Tc -0.861 -0.112 2.380
Tc -0.867 5.907 6.424
Tc -1.393 6.406 3.805
Tc 1.217 0.393 0.703


(2)
5
Lattice="-1.878 0.583 -6.115 -0.833 -6.359 -0.351 -6.086 0.691 1.935" Properties=species:S:1:pos:R:3 comment="PBE Ba3YB, optimized geometry" space_group="Pm-3m (221)" ef_ev_per_atom=1.56 polymorph_energy_mev_per_atom=929.9 final_energy_ev_per_cell=-11.1 m_tot_mub_per_fu=0.00 pbc="T T T"
Y 0.000 0.000 0.000
B -4.399 -2.543 -2.265
Ba -0.417 -3.180 -0.175
Ba -3.043 0.345 0.968
Ba -0.939 0.292 -3.057


(3)
5
Lattice="-0.510 -0.464 4.873 4.887 -0.332 0.480 0.283 4.889 0.495" Properties=species:S:1:pos:R:3 comment="PBE NaCr3C, optimized geometry" space_group="Pm-3m (221)" ef_ev_per_atom=3.06 polymorph_energy_mev_per_atom=2334.5 final_energy_ev_per_cell=-24.1 m_tot_mub_per_fu=12.98 pbc="T T T"
Cr 2.444 -0.166 0.240
Cr 0.142 2.444 0.248
Cr -0.255 -0.232 2.437
C 2.330 2.046 2.924
Na 0.000 0.000 0.000


(4)
11
Lattice="5.779 0.363 0.310 1.294 8.265 -0.280 1.294 1.004 8.208" Properties=species:S:1:pos:R:3 comment="PBE Pr2Dy8Sc, optimized geometry" space_group="C2/m (12)" ef_ev_per_atom=0.43 polymorph_energy_mev_per_atom=393.8 final_energy_ev_per_cell=-48.0 m_tot_mub_per_fu=0.00 pbc="T T T"
Pr 3.214 1.487 1.272
Pr 5.153 8.145 6.966
Dy 5.841 2.178 5.598
Dy 2.527 3.764 6.955
Dy 5.853 2.836 2.426
Dy 2.515 6.796 5.812
Dy 5.841 5.868 1.284
Dy 2.527 7.454 2.640
Dy 2.735 4.038 3.454
Dy 5.633 5.594 4.784
Sc 0.000 0.000 0.000


(5)
4
Lattice="-1.473 -1.711 3.174 5.021 -0.356 2.138 -0.649 4.900 2.341" Properties=species:S:1:pos:R:3 comment="PBE PmEuCd2, optimized geometry" space_group="P4/mmm (123)" ef_ev_per_atom=-0.34 final_energy_ev_per_cell=-18.2 m_tot_mub_per_fu=7.23 pbc="T T T"
Eu 1.449 1.416 3.826
Cd -0.325 2.450 1.170
Cd 2.510 -0.178 1.069
Pm -0.736 -0.856 1.587


(6)
4
Lattice="3.678 0.000 0.000 1.839 3.185 0.000 1.839 1.062 10.463" Properties=species:S:1:pos:R:3 comment="PBE TbZrI2, optimized geometry" space_group="R-3m (166)" final_energy_ev_per_cell=-17.7 m_tot_mub_per_fu=0.00 pbc="T T T"
I 1.839 1.062 7.318
I 5.516 3.185 3.146
Tb 0.000 0.000 0.000
Zr 3.678 2.123 5.232


(7)
5
Lattice="5.972 0.000 0.000 0.000 4.997 0.000 0.000 0.000 5.972" Properties=species:S:1:pos:R:3 comment="PBE BaLa2CuSb, optimized geometry" space_group="P4/mmm (123)" final_energy_ev_per_cell=-16.1 m_tot_mub_per_fu=0.15 pbc="T T T"
Sb 2.986 2.499 2.986
Ba 0.000 0.000 0.000
Cu 0.000 2.499 0.000
La 0.000 0.000 2.986
La 2.986 0.000 0.000


(8)
4
Lattice="3.314 0.000 0.000 0.000 3.314 0.000 0.000 0.000 9.062" Properties=species:S:1:pos:R:3 comment="PBE Tl2RuPb, optimized geometry" space_group="P4mm (99)" ef_ev_per_atom=0.29 polymorph_energy_mev_per_atom=0.0 final_energy_ev_per_cell=-16.5 m_tot_mub_per_fu=0.00 pbc="T T T"
Pb 0.000 0.000 5.107
Ru 1.657 1.657 6.795
Tl 0.000 0.000 8.540
Tl 1.657 1.657 2.213